Computed, not measured: a geometry-optimized Rb14Pr2O9 structure at the PBE-GGA level of DFT.

Cell: 8.3342 8.3342 11.6518 Å, 90.00 90.00 120.00°
Closest atoms and distances in Å follow each position.
Element x y z (fractional)
Rb 0.0000 0.0000 0.2480  4 O 2.89-3.01
Rb 0.0000 0.0000 0.7520  4 O 2.89-3.01
Rb 0.0450 0.6792 0.9087  4 O 3.03-3.14
Rb 0.1002 0.3851 0.5912  3 O 2.85-3.05
Rb 0.2850 0.8998 0.5912  3 O 2.85-3.05
Rb 0.3208 0.3658 0.9087  4 O 3.03-3.14
Rb 0.3658 0.0450 0.0913  4 O 3.03-3.14
Rb 0.3851 0.2850 0.4088  3 O 2.85-3.05
Rb 0.6149 0.7150 0.5912  3 O 2.85-3.05
Rb 0.6342 0.9550 0.9087  4 O 3.03-3.14
Rb 0.6792 0.6342 0.0913  4 O 3.03-3.14
Rb 0.7150 0.1002 0.4088  3 O 2.85-3.05
Rb 0.8998 0.6149 0.4088  3 O 2.85-3.05
Rb 0.9550 0.3208 0.0913  4 O 3.03-3.14
Pr 0.3333 0.6667 0.2743  4 O 2.30-2.32
Pr 0.6667 0.3333 0.7257  4 O 2.30-2.32
O 0.0000 0.0000 0.0000  8 Rb 2.89-3.07
O 0.1129 0.3779 0.3417  1 Pr 2.32
O 0.2650 0.8871 0.3417  1 Pr 2.32
O 0.3333 0.6667 0.0771  1 Pr 2.30
O 0.3779 0.2650 0.6583  1 Pr 2.32
O 0.6221 0.7350 0.3417  1 Pr 2.32
O 0.6667 0.3333 0.9229  1 Pr 2.30
O 0.7350 0.1129 0.6583  1 Pr 2.32
O 0.8871 0.6221 0.6583  1 Pr 2.32

The density of states at the Fermi level comes out at 4.5 states/eV/f.u. The space-group type is No. 147. For the formation energy without anion corrections, the calculation gives -1.299 eV per atom.

=====

Computed, not measured: a geometry-optimized ReNi2HW structure at the PBE-GGA level of DFT.

Cell: 3.7050 3.7050 4.0104 Å, 90.00 90.00 90.00°
Closest atoms and distances in Å follow each position.
Element x y z (fractional)
Re 0.0000 0.0000 0.0000  4 W 2.62, 8 Ni 2.73
Ni 0.0000 0.5000 0.5000  2 H 1.85
Ni 0.5000 0.0000 0.5000  2 H 1.85
H 0.5000 0.5000 0.5000  4 Ni 1.85, 2 W 2.01
W 0.5000 0.5000 0.0000  2 H 2.01

Its energy above the most stable polymorph in this dataset is 0.144 eV per formula unit. The density of states at the Fermi level comes out at 5.3 states/eV/f.u. The space-group type is No. 123.